Y7Tm3Th | GGA-PBE | optimized geometry

Output
- VASP energy: -5.696 eV/atom
- Space group: No. 71
- Formation energy: 3.4 eV/f.u.
- Total moment: 0.000 μB per atom

Cell lengths 5.8384, 8.4205, 8.4205 Å; angles 83.02, 110.26, 110.26 degrees
Fractional coordinates of all 11 atoms:
Y  0.0000  0.5000  0.5000
Y  0.3060  0.5978  0.0146
Y  0.3060  0.0146  0.5978
Y  0.6940  0.9854  0.4022
Y  0.2058  0.2056  0.2056
Y  0.6940  0.4022  0.9854
Y  0.7942  0.7944  0.7944
Tm  0.0000  0.7959  0.2041
Tm  0.5000  0.0000  0.0000
Tm  0.0000  0.2041  0.7959
Th  0.5000  0.5000  0.5000

Y5Tm2Th4 | GGA-PBE | optimized geometry

Output
- VASP energy: -6.240 eV/atom
- Space group: No. 12
- Formation energy: 2.3 eV/f.u.
- Total moment: 0.000 μB per atom

Cell lengths 6.6529, 9.0109, 10.3500 Å; angles 38.90, 71.25, 68.34 degrees
Fractional coordinates of all 11 atoms:
Y  0.1729  0.2651  0.9090
Y  0.6531  0.2651  0.9090
Y  0.0000  0.5000  0.5000
Y  0.3469  0.7349  0.0910
Y  0.8271  0.7349  0.0910
Th  0.4041  0.7796  0.4122
Th  0.7519  0.6609  0.8352
Th  0.2481  0.3391  0.1648
Th  0.5959  0.2204  0.5878
Tm  0.1974  0.9250  0.6803
Tm  0.8026  0.0750  0.3197

Y5TmTh2 | GGA-PBE | optimized geometry

Output
- VASP energy: -6.216 eV/atom
- Space group: No. 74
- Formation energy: 1.9 eV/f.u.
- Total moment: 0.000 μB per atom

Cell lengths 9.5554, 9.5554, 13.4093 Å; angles 45.41, 45.41, 77.24 degrees
Fractional coordinates of all 16 atoms:
Th  0.5000  0.5000  0.0000
Th  0.5000  0.0000  0.0000
Th  0.0000  0.5000  0.5000
Th  0.5000  0.5000  0.5000
Y  0.9706  0.0300  0.8813
Y  0.5008  0.0003  0.2678
Y  0.4992  0.9997  0.7322
Y  0.9700  0.0294  0.6187
Y  0.0294  0.9700  0.1187
Y  0.0003  0.5008  0.7678
Y  0.0300  0.9706  0.3813
Y  0.9997  0.4992  0.2322
Y  0.4853  0.5147  0.7500
Y  0.5147  0.4853  0.2500
Tm  0.7938  0.2062  0.2500
Tm  0.2062  0.7938  0.7500

Y7Tm2Th | GGA-PBE | optimized geometry

Output
- VASP energy: -5.836 eV/atom
- Space group: No. 71
- Formation energy: 3.3 eV/f.u.
- Total moment: 0.000 μB per atom

Cell lengths 3.5793, 10.3157, 10.3153 Å; angles 107.48, 80.02, 80.02 degrees
Fractional coordinates of all 10 atoms:
Y  0.2485  0.9028  0.6001
Y  0.5000  0.5000  0.5000
Y  0.7515  0.0972  0.3999
Y  0.0000  0.6732  0.3268
Y  0.7514  0.3998  0.0972
Y  0.0000  0.3268  0.6732
Y  0.2486  0.6002  0.9028
Tm  0.5000  0.8340  0.1660
Tm  0.5000  0.1660  0.8340
Th  0.0000  0.0000  0.0000

Y3TmTh2 | GGA-PBE | optimized geometry

Output
- VASP energy: -6.423 eV/atom
- Space group: No. 11
- Formation energy: 0.2 eV/f.u.
- Total moment: 0.000 μB per atom

Cell lengths 3.5776, 10.0445, 10.6522 Å; angles 90.12, 90.00, 90.00 degrees
Fractional coordinates of all 12 atoms:
Y  0.2500  0.8697  0.4174
Y  0.7500  0.1303  0.5826
Y  0.7500  0.6231  0.2506
Y  0.2500  0.3769  0.7494
Y  0.7500  0.6345  0.9175
Y  0.2500  0.3655  0.0825
Th  0.7500  0.6239  0.5829
Th  0.2500  0.8808  0.0831
Th  0.7500  0.1192  0.9169
Th  0.2500  0.3761  0.4171
Tm  0.7500  0.1245  0.2499
Tm  0.2500  0.8755  0.7501

Y3Tm2Th | GGA-PBE | optimized geometry

Output
- VASP energy: -5.918 eV/atom
- Space group: No. 12
- Formation energy: 0.2 eV/f.u.
- Total moment: 0.000 μB per atom

Cell lengths 5.0330, 9.3974, 17.0167 Å; angles 29.88, 81.50, 74.47 degrees
Fractional coordinates of all 12 atoms:
Y  0.5825  0.8781  0.9569
Y  0.4175  0.1219  0.0431
Y  0.2500  0.8753  0.6248
Y  0.0830  0.1264  0.7076
Y  0.9170  0.8736  0.2924
Y  0.7500  0.1247  0.3752
Tm  0.9166  0.3763  0.7904
Tm  0.7483  0.6312  0.8723
Tm  0.2517  0.3688  0.1277
Tm  0.0834  0.6237  0.2096
Th  0.5813  0.3805  0.4569
Th  0.4187  0.6195  0.5431